(1)
A plane-wave DFT calculation with meta-GGA SCAN was carried out for ErZn2Ni at its PBEsol-relaxed geometry.

abc: 4.9718 4.9718 7.1577
angles: 90.00 90.00 133.87
Fractional positions:
Er  0.0652  0.9348  0.7500
Er  0.9348  0.0652  0.2500
Zn  0.3538  0.6462  0.5534
Zn  0.3538  0.6462  0.9466
Zn  0.6462  0.3538  0.0534
Zn  0.6462  0.3538  0.4466
Ni  0.2205  0.7795  0.2500
Ni  0.7795  0.2205  0.7500

Summary:
Energy of formation from the pure elements: -471 meV/atom

=====

(2)
A plane-wave DFT calculation with meta-GGA SCAN was carried out for DyTiFe11C at its PBEsol-relaxed geometry.

abc: 6.3660 6.3660 6.3660
angles: 136.39 97.56 98.30
Fractional positions:
Dy  0.0000  0.0000  0.0000
Ti  0.3762  0.3762  0.0000
Fe  0.0052  0.0063  0.4986
Fe  0.0052  0.5066  0.9989
Fe  0.2305  0.5099  0.7206
Fe  0.2314  0.7314  0.5000
Fe  0.3651  0.0077  0.3575
Fe  0.5077  0.0063  0.0011
Fe  0.5077  0.5066  0.5014
Fe  0.6502  0.0077  0.6425
Fe  0.6532  0.6532  0.0000
Fe  0.7824  0.2824  0.5000
Fe  0.7893  0.5099  0.2794
C  0.0066  0.5066  0.5000

Summary:
Energy of formation from the pure elements: -88 meV/atom

=====

(3)
A plane-wave DFT calculation with meta-GGA SCAN was carried out for CrCuRh at its PBEsol-relaxed geometry.

abc: 3.9890 3.9890 3.9890
angles: 60.00 60.00 60.00
Fractional positions:
Cr  0.0000  0.0000  0.0000
Cu  0.5000  0.5000  0.5000
Rh  0.7500  0.7500  0.7500

Summary:
Energy relative to the lowest polymorph listed for this composition: 302.0 meV/atom
Energy of formation from the pure elements: 435 meV/atom

=====

(4)
A plane-wave DFT calculation with meta-GGA SCAN was carried out for K3Au at its PBEsol-relaxed geometry.

abc: 8.8363 8.8363 8.8363
angles: 153.37 143.25 45.96
Fractional positions:
K  0.0000  0.0000  0.0000
K  0.3368  0.8368  0.5000
K  0.6632  0.1632  0.5000
Au  0.5000  0.5000  0.0000

Summary:
Energy of formation from the pure elements: -194 meV/atom

=====

(5)
A plane-wave DFT calculation with meta-GGA SCAN was carried out for LaHf2Cr at its PBEsol-relaxed geometry.

abc: 4.8726 4.8726 4.8726
angles: 60.00 60.00 60.00
Fractional positions:
La  0.0000  0.0000  0.0000
Hf  0.2500  0.2500  0.2500
Hf  0.7500  0.7500  0.7500
Cr  0.5000  0.5000  0.5000

Summary:
Energy of formation from the pure elements: 415 meV/atom

=====

(6)
A plane-wave DFT calculation with meta-GGA SCAN was carried out for K4BaRe at its PBEsol-relaxed geometry.

abc: 7.2863 7.2863 7.2863
angles: 60.00 60.00 60.00
Fractional positions:
K  0.1226  0.1226  0.1226
K  0.1226  0.1226  0.6323
K  0.1226  0.6323  0.1226
K  0.6323  0.1226  0.1226
Ba  0.5000  0.5000  0.5000
Re  0.7500  0.7500  0.7500

Summary:
Energy of formation from the pure elements: 1246 meV/atom

=====

(7)
A plane-wave DFT calculation with meta-GGA SCAN was carried out for TiFeI2N at its PBEsol-relaxed geometry.

abc: 5.5331 5.5331 3.6976
angles: 90.00 90.00 90.00
Fractional positions:
Ti  0.0000  0.0000  0.0000
Fe  0.5000  0.5000  0.5000
I  0.0000  0.5000  0.0000
I  0.5000  0.0000  0.0000
N  0.0000  0.0000  0.5000

Summary:
Uncorrected formation energy: 188 meV per atom

=====

(8)
A plane-wave DFT calculation with meta-GGA SCAN was carried out for Mg2Nb2NiO8 at its PBEsol-relaxed geometry.

abc: 9.7673 9.7673 5.1235
angles: 90.92 90.92 35.28
Fractional positions:
Mg  0.0869  0.3709  0.2533
Mg  0.3709  0.0869  0.7533
Mg  0.6291  0.9131  0.2467
Mg  0.9131  0.6291  0.7467
Nb  0.2182  0.5570  0.2474
Nb  0.4430  0.7818  0.2526
Nb  0.5570  0.2182  0.7474
Nb  0.7818  0.4430  0.7526
Ni  0.1398  0.8602  0.7500
Ni  0.8602  0.1398  0.2500
O  0.0461  0.3332  0.6138
O  0.0619  0.8260  0.0796
O  0.1740  0.9381  0.4204
O  0.2132  0.4146  0.9581
O  0.3167  0.5495  0.5919
O  0.3332  0.0461  0.1138
O  0.4146  0.2132  0.4581
O  0.4505  0.6833  0.9081
O  0.5495  0.3167  0.0919
O  0.5854  0.7868  0.5419
O  0.6668  0.9539  0.8862
O  0.6833  0.4505  0.4081
O  0.7868  0.5854  0.0419
O  0.8260  0.0619  0.5796
O  0.9381  0.1740  0.9204
O  0.9539  0.6668  0.3862

Summary:
Uncorrected formation energy: -2642 meV per atom

=====

(9)
A plane-wave DFT calculation with meta-GGA SCAN was carried out for Sm4Bi3 at its PBEsol-relaxed geometry.

abc: 8.1573 8.1573 8.1573
angles: 109.47 109.47 109.47
Fractional positions:
Sm  0.0000  0.3553  0.5000
Sm  0.0000  0.8553  0.5000
Sm  0.1447  0.1447  0.1447
Sm  0.3553  0.5000  0.0000
Sm  0.5000  0.0000  0.3553
Sm  0.5000  0.0000  0.8553
Sm  0.6447  0.6447  0.6447
Sm  0.8553  0.5000  0.0000
Bi  0.1250  0.7500  0.8750
Bi  0.2500  0.6250  0.3750
Bi  0.3750  0.2500  0.6250
Bi  0.6250  0.3750  0.2500
Bi  0.7500  0.8750  0.1250
Bi  0.8750  0.1250  0.7500

Summary:
Energy of formation from the pure elements: -950 meV/atom

=====

(10)
A plane-wave DFT calculation with meta-GGA SCAN was carried out for BaCuSi at its PBEsol-relaxed geometry.

abc: 4.1155 4.1155 4.9687
angles: 90.00 90.00 120.00
Fractional positions:
Ba  0.0000  0.0000  0.0000
Cu  0.3333  0.6667  0.5000
Si  0.6667  0.3333  0.5000

Summary:
Uncorrected formation energy: -264 meV per atom

=====

(11)
A plane-wave DFT calculation with meta-GGA SCAN was carried out for Hf3NbP at its PBEsol-relaxed geometry.

abc: 4.7383 4.7383 4.7383
angles: 90.00 90.00 90.00
Fractional positions:
Hf  0.0000  0.0000  0.5000
Hf  0.0000  0.5000  0.0000
Hf  0.5000  0.0000  0.0000
Nb  0.5000  0.5000  0.5000
P  0.0000  0.0000  0.0000

Summary:
Energy of formation from the pure elements: -78 meV/atom

=====

(12)
A plane-wave DFT calculation with meta-GGA SCAN was carried out for Dy2Mo2C3 at its PBEsol-relaxed geometry.

abc: 6.0495 6.0495 5.6588
angles: 111.48 111.48 31.70
Fractional positions:
Dy  0.1097  0.1097  0.3234
Dy  0.8903  0.8903  0.6766
Mo  0.3429  0.3429  0.1737
Mo  0.6571  0.6571  0.8263
C  0.2514  0.2514  0.7660
C  0.5000  0.5000  0.5000
C  0.7486  0.7486  0.2340

Summary:
Energy of formation from the pure elements: -425 meV/atom

=====

(13)
A plane-wave DFT calculation with meta-GGA SCAN was carried out for BaLa3Fe at its PBEsol-relaxed geometry.

abc: 5.4715 5.4715 5.4715
angles: 90.00 90.00 90.00
Fractional positions:
Ba  0.0000  0.0000  0.0000
La  0.0000  0.5000  0.5000
La  0.5000  0.0000  0.5000
La  0.5000  0.5000  0.0000
Fe  0.5000  0.5000  0.5000

Summary:
Energy of formation from the pure elements: 212 meV/atom

=====

(14)
A plane-wave DFT calculation with meta-GGA SCAN was carried out for Mg2As at its PBEsol-relaxed geometry.

abc: 5.5892 5.5892 5.5892
angles: 60.00 60.00 60.00
Fractional positions:
Mg  0.0000  0.0000  0.0000
Mg  0.0000  0.0000  0.5000
Mg  0.0000  0.5000  0.0000
Mg  0.5000  0.0000  0.0000
As  0.3750  0.3750  0.3750
As  0.6250  0.6250  0.6250

Summary:
Energy of formation from the pure elements: 151 meV/atom

=====

(15)
A plane-wave DFT calculation with meta-GGA SCAN was carried out for RbCa3In at its PBEsol-relaxed geometry.

abc: 5.7559 5.7559 5.7559
angles: 90.00 90.00 90.00
Fractional positions:
Rb  0.0000  0.0000  0.0000
Ca  0.0000  0.0000  0.5000
Ca  0.0000  0.5000  0.0000
Ca  0.5000  0.0000  0.0000
In  0.5000  0.5000  0.5000

Summary:
Energy of formation from the pure elements: 990 meV/atom

=====

(16)
A plane-wave DFT calculation with meta-GGA SCAN was carried out for TaPRh2 at its PBEsol-relaxed geometry.

abc: 5.1583 5.1583 2.7925
angles: 104.48 104.48 118.62
Fractional positions:
Ta  0.0000  0.0000  0.0000
P  0.5000  0.5000  0.0000
Rh  0.0000  0.5000  0.5000
Rh  0.5000  0.0000  0.5000

Summary:
Energy of formation from the pure elements: -217 meV/atom

=====

(17)
A plane-wave DFT calculation with meta-GGA SCAN was carried out for TlPb2Se at its PBEsol-relaxed geometry.

abc: 6.2763 6.2763 6.2763
angles: 144.65 128.18 64.30
Fractional positions:
Tl  0.0000  0.0000  0.0000
Pb  0.2816  0.7816  0.5000
Pb  0.7184  0.2184  0.5000
Se  0.5000  0.5000  0.0000

Summary:
Energy relative to the lowest polymorph listed for this composition: 1.0 meV/atom
Uncorrected formation energy: -146 meV per atom

=====

(18)
A plane-wave DFT calculation with meta-GGA SCAN was carried out for BaLiGa3 at its PBEsol-relaxed geometry.

abc: 5.8870 5.8870 5.8870
angles: 90.00 90.00 90.00
Fractional positions:
Ba  0.0000  0.0000  0.0000
Li  0.5000  0.5000  0.5000
Ga  0.0000  0.0000  0.5000
Ga  0.0000  0.5000  0.0000
Ga  0.5000  0.0000  0.0000

Summary:
Energy of formation from the pure elements: 920 meV/atom

=====

(19)
A plane-wave DFT calculation with meta-GGA SCAN was carried out for Tb3GaC at its PBEsol-relaxed geometry.

abc: 4.8216 4.8216 4.8216
angles: 90.00 90.00 90.00
Fractional positions:
Tb  0.0000  0.0000  0.5000
Tb  0.0000  0.5000  0.0000
Tb  0.5000  0.0000  0.0000
Ga  0.5000  0.5000  0.5000
C  0.0000  0.0000  0.0000

Summary:
Energy of formation from the pure elements: -521 meV/atom

=====

(20)
A plane-wave DFT calculation with meta-GGA SCAN was carried out for KBa2Na2 at its PBEsol-relaxed geometry.

abc: 9.7921 9.7921 5.5351
angles: 90.00 90.00 90.00
Fractional positions:
K  0.0000  0.0000  0.0000
K  0.5000  0.5000  0.0000
Ba  0.1695  0.3305  0.5000
Ba  0.3305  0.8305  0.5000
Ba  0.6695  0.1695  0.5000
Ba  0.8305  0.6695  0.5000
Na  0.1247  0.6247  0.0000
Na  0.3753  0.1247  0.0000
Na  0.6247  0.8753  0.0000
Na  0.8753  0.3753  0.0000

Summary:
Energy of formation from the pure elements: 45 meV/atom

=====

(21)
A plane-wave DFT calculation with meta-GGA SCAN was carried out for CaAl2P at its PBEsol-relaxed geometry.

abc: 4.6546 4.6546 5.5418
angles: 106.09 106.09 45.30
Fractional positions:
Ca  0.0000  0.0000  0.0000
Al  0.5282  0.5282  0.5263
Al  0.7818  0.7818  0.3586
P  0.2539  0.2539  0.6727

Summary:
Energy of formation from the pure elements: -358 meV/atom

=====

(22)
A plane-wave DFT calculation with meta-GGA SCAN was carried out for YTc2Pb at its PBEsol-relaxed geometry.

abc: 4.5633 4.5633 3.5271
angles: 90.00 90.00 90.00
Fractional positions:
Y  0.0000  0.0000  0.0000
Tc  0.0000  0.5000  0.5000
Tc  0.5000  0.0000  0.5000
Pb  0.5000  0.5000  0.0000

Summary:
Energy of formation from the pure elements: 279 meV/atom

=====

(23)
A plane-wave DFT calculation with meta-GGA SCAN was carried out for Ba3HfRu at its PBEsol-relaxed geometry.

abc: 5.9591 5.9591 5.9591
angles: 90.00 90.00 90.00
Fractional positions:
Ba  0.0000  0.0000  0.5000
Ba  0.0000  0.5000  0.0000
Ba  0.5000  0.0000  0.0000
Hf  0.0000  0.0000  0.0000
Ru  0.5000  0.5000  0.5000

Summary:
Energy of formation from the pure elements: 1547 meV/atom

=====

(24)
A plane-wave DFT calculation with meta-GGA SCAN was carried out for NaGdSe2 at its PBEsol-relaxed geometry.

abc: 7.2747 7.2747 7.2747
angles: 32.99 32.99 32.99
Fractional positions:
Na  0.0000  0.0000  0.0000
Gd  0.5000  0.5000  0.5000
Se  0.2441  0.2441  0.2441
Se  0.7559  0.7559  0.7559

Summary:
Uncorrected formation energy: -1902 meV per atom

=====

(25)
A plane-wave DFT calculation with meta-GGA SCAN was carried out for ZrSc2Co2 at its PBEsol-relaxed geometry.

abc: 6.3700 6.3700 4.2086
angles: 90.00 90.00 90.00
Fractional positions:
Zr  0.0000  0.0000  0.0000
Zr  0.5000  0.5000  0.0000
Sc  0.1753  0.3247  0.5000
Sc  0.3247  0.8247  0.5000
Sc  0.6753  0.1753  0.5000
Sc  0.8247  0.6753  0.5000
Co  0.1199  0.6199  0.0000
Co  0.3801  0.1199  0.0000
Co  0.6199  0.8801  0.0000
Co  0.8801  0.3801  0.0000

Summary:
Energy of formation from the pure elements: -167 meV/atom

=====

(26)
A plane-wave DFT calculation with meta-GGA SCAN was carried out for NbInW2C at its PBEsol-relaxed geometry.

abc: 4.0981 4.0981 4.6849
angles: 90.00 90.00 90.00
Fractional positions:
Nb  0.0000  0.0000  0.0000
In  0.5000  0.5000  0.0000
W  0.0000  0.5000  0.5000
W  0.5000  0.0000  0.5000
C  0.5000  0.5000  0.5000

Summary:
Energy of formation from the pure elements: 623 meV/atom